A geometry-optimized Li7CdAg12 structure. Source: the Alexandria database, functional PBE.

Geometry as extended XYZ:
```
20
Lattice="-1.664 0.512 6.978 -6.558 -2.569 -1.451 2.474 -6.677 1.005" Properties=species:S:1:pos:R:3 pbc="T T T"
Cd 0.000 0.000 0.000
Li -0.354 -0.998 2.869
Ag 0.548 -4.981 2.281
Ag -1.402 -6.335 3.780
Ag -6.296 -3.753 4.250
Li -5.555 -5.695 6.251
Li -2.874 -4.367 3.266
Ag -4.294 -3.445 0.074
Ag -3.225 -7.634 1.763
Li -0.194 -3.039 0.280
Ag -3.709 -3.542 5.485
Ag -4.883 -5.308 2.090
Li -2.950 -7.688 5.879
Ag -2.040 -5.192 1.046
Ag -2.523 -1.100 4.769
Li -2.799 -1.047 0.652
Ag -4.346 -2.400 2.751
Ag -1.454 -5.289 6.458
Ag -0.866 -3.426 4.442
Li -5.395 -7.736 3.662
```

Values from the calculation:
- Energy of formation from the pure elements: -0.089 eV/atom
- Uncorrected energy: -2.5155 eV/atom